[1]
Compound: Y2RuAu
Source: Alexandria via LeMat-Bulk
Functional: PBEsol
Structure: relaxed

Output
* SG: No. 225
* uncorrected energy: -7.49 eV/atom
* total magnetic moment: 0.0 μB/f.u.
* energy of formation from the pure elements: -212 kJ/mol of formula units
* D(E_F): 0.512 states/eV/atom

Cell lengths 4.873, 4.873, 4.873 Å; angles 60.00, 60.00, 60.00 degrees
Sites, in units of the cell vectors:
Y1 0.250 0.250 0.250
Y2 0.750 0.750 0.750
Ru1 0.000 0.000 0.000
Au1 0.500 0.500 0.500

***

[2]
Compound: ZnRuAu2
Source: Alexandria via LeMat-Bulk
Functional: PBEsol
Structure: relaxed

Output
* SG: No. 216
* uncorrected energy: -4.67 eV/atom
* total magnetic moment: 0.7 μB/f.u.
* energy of formation from the pure elements: 89 kJ/mol of formula units
* D(E_F): 1.314 states/eV/atom

Cell lengths 4.420, 4.420, 4.420 Å; angles 60.00, 60.00, 60.00 degrees
Sites, in units of the cell vectors:
Zn1 0.000 0.000 0.000
Ru1 0.750 0.750 0.750
Au1 0.250 0.250 0.250
Au2 0.500 0.500 0.500

***

[3]
Compound: ZnRu3Au
Source: Alexandria via LeMat-Bulk
Functional: PBEsol
Structure: relaxed

Output
* SG: No. 221
* uncorrected energy: -4.84 eV/atom
* total magnetic moment: 5.7 μB/f.u.
* energy of formation from the pure elements: 1139 kJ/mol of formula units
* D(E_F): 1.093 states/eV/atom

Cell lengths 4.770, 4.770, 4.770 Å; angles 90.00, 90.00, 90.00 degrees
Sites, in units of the cell vectors:
Zn1 0.000 0.000 0.000
Ru1 0.000 0.500 0.500
Ru2 0.500 0.000 0.500
Ru3 0.500 0.500 0.000
Au1 0.500 0.500 0.500

***

[4]
Compound: ZnRuAu
Source: Alexandria via LeMat-Bulk
Functional: PBEsol
Structure: relaxed

Output
* SG: No. 216
* uncorrected energy: -4.69 eV/atom
* total magnetic moment: 0.0 μB/f.u.
* energy of formation from the pure elements: 154 kJ/mol of formula units
* D(E_F): 1.483 states/eV/atom
* relative energy among the computed polymorphs: 383 meV per atom

Cell lengths 4.100, 4.100, 4.100 Å; angles 60.00, 60.00, 60.00 degrees
Sites, in units of the cell vectors:
Zn1 0.000 0.000 0.000
Ru1 0.250 0.250 0.250
Au1 0.750 0.750 0.750

***

[5]
Compound: Zn2RuAu
Source: Alexandria via LeMat-Bulk
Functional: PBEsol
Structure: relaxed

Output
* SG: No. 99
* uncorrected energy: -4.24 eV/atom
* total magnetic moment: 0.0 μB/f.u.
* energy of formation from the pure elements: 28 kJ/mol of formula units
* D(E_F): 0.581 states/eV/atom

Cell lengths 3.138, 3.138, 5.796 Å; angles 90.00, 90.00, 90.00 degrees
Sites, in units of the cell vectors:
Zn1 0.000 0.000 0.000
Zn2 0.500 0.500 0.248
Ru1 0.500 0.500 0.785
Au1 0.000 0.000 0.495

***

[6]
Compound: Zn2RuAu
Source: Alexandria via LeMat-Bulk
Functional: PBEsol
Structure: relaxed

Output
* SG: No. 38
* uncorrected energy: -4.30 eV/atom
* total magnetic moment: 0.0 μB/f.u.
* energy of formation from the pure elements: 7 kJ/mol of formula units
* D(E_F): 0.557 states/eV/atom

Cell lengths 4.159, 5.229, 5.229 Å; angles 29.96, 90.00, 90.00 degrees
Sites, in units of the cell vectors:
Zn1 0.000 0.000 0.000
Zn2 0.500 0.143 0.143
Ru1 0.000 0.736 0.736
Au1 0.500 0.396 0.396

***

[7]
Compound: Zn2RuAu
Source: Alexandria via LeMat-Bulk
Functional: PBEsol
Structure: relaxed

Output
* SG: No. 123
* uncorrected energy: -4.35 eV/atom
* total magnetic moment: 0.0 μB/f.u.
* energy of formation from the pure elements: -14 kJ/mol of formula units
* D(E_F): 0.757 states/eV/atom

Cell lengths 2.796, 2.796, 7.287 Å; angles 90.00, 90.00, 90.00 degrees
Sites, in units of the cell vectors:
Zn1 0.000 0.000 0.234
Zn2 0.000 0.000 0.766
Ru1 0.500 0.500 0.000
Au1 0.500 0.500 0.500

***

[8]
Compound: ZnRuAu2
Source: Alexandria via LeMat-Bulk
Functional: PBEsol
Structure: relaxed

Output
* SG: No. 71
* uncorrected energy: -4.67 eV/atom
* total magnetic moment: 0.2 μB/f.u.
* energy of formation from the pure elements: 89 kJ/mol of formula units
* D(E_F): 0.769 states/eV/atom

Cell lengths 5.364, 5.364, 5.364 Å; angles 149.30, 128.71, 60.98 degrees
Sites, in units of the cell vectors:
Zn1 0.000 0.000 0.000
Ru1 0.500 0.500 0.000
Au1 0.240 0.740 0.500
Au2 0.760 0.260 0.500

***

> The highest total magnetic moment belongs to which entry?

ZnRu3Au

***

Repeat the sixth record exactly.
Compound: Zn2RuAu
Source: Alexandria via LeMat-Bulk
Functional: PBEsol
Structure: relaxed

Output
* SG: No. 38
* uncorrected energy: -4.30 eV/atom
* total magnetic moment: 0.0 μB/f.u.
* energy of formation from the pure elements: 7 kJ/mol of formula units
* D(E_F): 0.557 states/eV/atom

Cell lengths 4.159, 5.229, 5.229 Å; angles 29.96, 90.00, 90.00 degrees
Sites, in units of the cell vectors:
Zn1 0.000 0.000 0.000
Zn2 0.500 0.143 0.143
Ru1 0.000 0.736 0.736
Au1 0.500 0.396 0.396

***

> The lowest uncorrected energy belongs to which entry?

Y2RuAu